1.
VASP calculation (PBE) on Al3C after structural relaxation.

Calculated values
* formation enthalpy at 0 K: 0.201 eV per atom
* polymorph energy (0 for the lowest one): 176.0 meV/atom

a = 3.3633 Å, b = 5.5410 Å, c = 6.7876 Å
α = 90.00°, β = 90.00°, γ = 90.00°
Fractional positions:
Al (0.0000, 0.2587, 0.1521)
Al (0.0000, 0.7413, 0.1521)
Al (0.5000, 0.7587, 0.8479)
Al (0.5000, 0.2413, 0.8479)
Al (0.0000, 0.5000, 0.4953)
Al (0.5000, 0.0000, 0.5047)
C (0.0000, 0.0000, 0.3597)
C (0.5000, 0.5000, 0.6403)



2.
VASP calculation (PBE) on PmTlHg4 after structural relaxation.

Calculated values
* formation enthalpy at 0 K: -0.107 eV per atom
* polymorph energy (0 for the lowest one): 133.6 meV/atom

a = 6.0761 Å, b = 6.0761 Å, c = 6.0761 Å
α = 60.00°, β = 60.00°, γ = 60.00°
Fractional positions:
Hg (0.6247, 0.1260, 0.6247)
Hg (0.6247, 0.6247, 0.6247)
Hg (0.1260, 0.6247, 0.6247)
Hg (0.6247, 0.6247, 0.1260)
Pm (0.2500, 0.2500, 0.2500)
Tl (0.0000, 0.0000, 0.0000)



3.
VASP calculation (PBE) on K3Cd5H12 after structural relaxation.

Calculated values
* E_tot: -189.35 eV/cell

a = 11.6635 Å, b = 11.6635 Å, c = 11.6635 Å
α = 109.47°, β = 109.47°, γ = 109.47°
Fractional positions:
Cd (0.0000, 0.0000, 0.0000)
Cd (0.7500, 0.6250, 0.3750)
Cd (0.0000, 0.5000, 0.5000)
Cd (0.2500, 0.3750, 0.6250)
Cd (0.7500, 0.1250, 0.8750)
Cd (0.8750, 0.2500, 0.6250)
Cd (0.5000, 0.5000, 0.5000)
Cd (0.6250, 0.8750, 0.2500)
Cd (0.3750, 0.2500, 0.1250)
Cd (0.0000, 0.0000, 0.5000)
Cd (0.1250, 0.7500, 0.3750)
Cd (0.5000, 0.0000, 0.5000)
Cd (0.0000, 0.5000, 0.0000)
Cd (0.2500, 0.8750, 0.1250)
Cd (0.1250, 0.3750, 0.2500)
Cd (0.8750, 0.6250, 0.7500)
Cd (0.6250, 0.7500, 0.8750)
Cd (0.3750, 0.1250, 0.7500)
Cd (0.5000, 0.5000, 0.0000)
Cd (0.5000, 0.0000, 0.0000)
H (0.9969, 0.3927, 0.3136)
H (0.3167, 0.5031, 0.3958)
H (0.5031, 0.3167, 0.8958)
H (0.1864, 0.6833, 0.0790)
H (0.1073, 0.4210, 0.1042)
H (0.8167, 0.8958, 0.0031)
H (0.3958, 0.3927, 0.5790)
H (0.3167, 0.8136, 0.4210)
H (0.4210, 0.1073, 0.6042)
H (0.3136, 0.8927, 0.9969)
H (0.1864, 0.5031, 0.6073)
H (0.6833, 0.1864, 0.5790)
H (0.1042, 0.9210, 0.1073)
H (0.6864, 0.1073, 0.0031)
H (0.5790, 0.8927, 0.3958)
H (0.5790, 0.6864, 0.6833)
H (0.3136, 0.4210, 0.8167)
H (0.8167, 0.9210, 0.3136)
H (0.8958, 0.0790, 0.8927)
H (0.0031, 0.3958, 0.8167)
H (0.3927, 0.3958, 0.0790)
H (0.8136, 0.4969, 0.3927)
H (0.4969, 0.8136, 0.8927)
H (0.9210, 0.8167, 0.8136)
H (0.9210, 0.1042, 0.6073)
H (0.3958, 0.0031, 0.3167)
H (0.0790, 0.8958, 0.3927)
H (0.1833, 0.0790, 0.6864)
H (0.6833, 0.4969, 0.6042)
H (0.4969, 0.6833, 0.1042)
H (0.6042, 0.9969, 0.6833)
H (0.8927, 0.3136, 0.4969)
H (0.8958, 0.8167, 0.5031)
H (0.1833, 0.1042, 0.9969)
H (0.5031, 0.1864, 0.1073)
H (0.6073, 0.0031, 0.1864)
H (0.6073, 0.6042, 0.9210)
H (0.4210, 0.3136, 0.3167)
H (0.8927, 0.5790, 0.8958)
H (0.6864, 0.5790, 0.1833)
H (0.0031, 0.6073, 0.6864)
H (0.8136, 0.3167, 0.9210)
H (0.6042, 0.6073, 0.4210)
H (0.3927, 0.9969, 0.8136)
H (0.9969, 0.6042, 0.1833)
H (0.0790, 0.1833, 0.1864)
H (0.1073, 0.6864, 0.5031)
H (0.1042, 0.1833, 0.4969)
K (0.8750, 0.1250, 0.2500)
K (0.1250, 0.8750, 0.7500)
K (0.2500, 0.1250, 0.3750)
K (0.3750, 0.7500, 0.6250)
K (0.3750, 0.6250, 0.2500)
K (0.6250, 0.2500, 0.3750)
K (0.7500, 0.3750, 0.1250)
K (0.2500, 0.6250, 0.8750)
K (0.6250, 0.3750, 0.7500)
K (0.7500, 0.8750, 0.6250)
K (0.1250, 0.2500, 0.8750)
K (0.8750, 0.7500, 0.1250)



4.
VASP calculation (PBE) on LiLaTbSi after structural relaxation.

Calculated values
* formation energy without anion corrections: -0.342 eV per atom

a = 5.1303 Å, b = 5.1303 Å, c = 5.1303 Å
α = 60.00°, β = 60.00°, γ = 60.00°
Fractional positions:
Li (0.7500, 0.7500, 0.7500)
Si (0.2500, 0.2500, 0.2500)
Tb (0.5000, 0.5000, 0.5000)
La (0.0000, 0.0000, 0.0000)



Q: Which calculated volume values were calculated for the entries above? A: 126; 159; 1221; 95, in Å³ per cell.